Entry 1:
The following is a DFT calculation (meta-GGA SCAN) of a PBEsol-optimized structure of ZrFeTc3.

Calculated values
- formation enthalpy at 0 K (eV/atom) = 2.156
- DOS at the Fermi energy (states/eV/f.u.) = 5.021
- volume (Å³ per atom) = 19.50

Structure (CIF):
```
data_ZrFeTc3
_chemical_formula_sum 'Zr1 Fe1 Tc3'
_symmetry_space_group_name_H-M 'P m -3 m'
_symmetry_Int_Tables_number 221
_symmetry_space_group_name_Hall '-P 4 2 3'
_cell_length_a 4.603
_cell_length_b 4.603
_cell_length_c 4.603
_cell_angle_alpha 90.00
_cell_angle_beta 90.00
_cell_angle_gamma 90.00
loop_
_atom_site_label
_atom_site_type_symbol
_atom_site_fract_x
_atom_site_fract_y
_atom_site_fract_z
Zr1 Zr 0.000 0.000 0.000
Fe1 Fe 0.500 0.500 0.500
Tc1 Tc 0.000 0.000 0.500
```

Entry 2:
The following is a DFT calculation (meta-GGA SCAN) of a PBEsol-optimized structure of MnSbPb2.

Calculated values
- formation energy (no corrections) (eV per atom) = 0.035
- DOS at the Fermi energy (states/eV/f.u.) = 1.942
- volume (Å³ per atom) = 25.62

Structure (CIF):
```
data_MnSbPb2
_chemical_formula_sum 'Mn2 Sb2 Pb4'
_symmetry_space_group_name_H-M 'I m m m'
_symmetry_Int_Tables_number 71
_symmetry_space_group_name_Hall '-I 2 2'
_cell_length_a 3.353
_cell_length_b 4.239
_cell_length_c 14.419
_cell_angle_alpha 90.00
_cell_angle_beta 90.00
_cell_angle_gamma 90.00
loop_
_atom_site_label
_atom_site_type_symbol
_atom_site_fract_x
_atom_site_fract_y
_atom_site_fract_z
Mn1 Mn 0.000 0.000 0.000
Sb1 Sb 0.000 0.000 0.500
Pb1 Pb 0.000 0.500 0.323
```

Entry 3:
The following is a DFT calculation (meta-GGA SCAN) of a PBEsol-optimized structure of Na2BeGa.

Calculated values
- formation enthalpy at 0 K (eV/atom) = 0.290
- DOS at the Fermi energy (states/eV/f.u.) = 1.403
- volume (Å³ per atom) = 29.00

Structure (CIF):
```
data_Na2BeGa
_chemical_formula_sum 'Na8 Be4 Ga4'
_symmetry_space_group_name_H-M 'I -4 2 d'
_symmetry_Int_Tables_number 122
_symmetry_space_group_name_Hall 'I -4 2bw'
_cell_length_a 10.463
_cell_length_b 10.463
_cell_length_c 4.239
_cell_angle_alpha 90.00
_cell_angle_beta 90.00
_cell_angle_gamma 90.00
loop_
_atom_site_label
_atom_site_type_symbol
_atom_site_fract_x
_atom_site_fract_y
_atom_site_fract_z
Na1 Na 0.077 0.250 0.125
Be1 Be 0.000 0.000 0.000
Ga1 Ga 0.000 0.000 0.500
```

Entry 4:
The following is a DFT calculation (meta-GGA SCAN) of a PBEsol-optimized structure of ScHgBr.

Calculated values
- formation energy (no corrections) (eV per atom) = -0.772
- DOS at the Fermi energy (states/eV/f.u.) = 1.641
- offset from the most stable computed form (meV/atom) = 0
- volume (Å³ per atom) = 23.51

Structure (CIF):
```
data_ScHgBr
_chemical_formula_sum 'Sc2 Hg2 Br2'
_symmetry_space_group_name_H-M 'I 4 m m'
_symmetry_Int_Tables_number 107
_symmetry_space_group_name_Hall 'I 4 -2'
_cell_length_a 3.339
_cell_length_b 3.339
_cell_length_c 12.656
_cell_angle_alpha 90.00
_cell_angle_beta 90.00
_cell_angle_gamma 90.00
loop_
_atom_site_label
_atom_site_type_symbol
_atom_site_fract_x
_atom_site_fract_y
_atom_site_fract_z
Sc1 Sc 0.000 0.000 0.000
Hg1 Hg 0.000 0.000 0.354
Br1 Br 0.000 0.000 0.622
```

Entry 5:
The following is a DFT calculation (meta-GGA SCAN) of a PBEsol-optimized structure of Ti3BiI.

Calculated values
- formation energy (no corrections) (eV per atom) = 0.811
- DOS at the Fermi energy (states/eV/f.u.) = 5.450
- volume (Å³ per atom) = 30.00

Structure (CIF):
```
data_Ti3BiI
_chemical_formula_sum 'Ti3 Bi1 I1'
_symmetry_space_group_name_H-M 'P m -3 m'
_symmetry_Int_Tables_number 221
_symmetry_space_group_name_Hall '-P 4 2 3'
_cell_length_a 5.313
_cell_length_b 5.313
_cell_length_c 5.313
_cell_angle_alpha 90.00
_cell_angle_beta 90.00
_cell_angle_gamma 90.00
loop_
_atom_site_label
_atom_site_type_symbol
_atom_site_fract_x
_atom_site_fract_y
_atom_site_fract_z
Ti1 Ti 0.000 0.000 0.500
Bi1 Bi 0.000 0.000 0.000
I1 I 0.500 0.500 0.500
```

Entry 6:
The following is a DFT calculation (meta-GGA SCAN) of a PBEsol-optimized structure of SiAu.

Calculated values
- formation energy (no corrections) (eV per atom) = 0.254
- DOS at the Fermi energy (states/eV/f.u.) = 0.799
- volume (Å³ per atom) = 16.41

Structure (CIF):
```
data_SiAu
_chemical_formula_sum 'Si2 Au2'
_symmetry_space_group_name_H-M 'P -3 m 1'
_symmetry_Int_Tables_number 164
_symmetry_space_group_name_Hall '-P 3 2"'
_cell_length_a 3.1199
_cell_length_b 3.1199
_cell_length_c 7.7888
_cell_angle_alpha 90.00
_cell_angle_beta 90.00
_cell_angle_gamma 120.00
loop_
_atom_site_label
_atom_site_type_symbol
_atom_site_fract_x
_atom_site_fract_y
_atom_site_fract_z
Si1 Si 0.3333 0.6667 0.1186
Au1 Au 0.3333 0.6667 0.6456
```

Entry 7:
The following is a DFT calculation (meta-GGA SCAN) of a PBEsol-optimized structure of BaBeSCl2.

Calculated values
- formation energy (no corrections) (eV per atom) = -0.277
- DOS at the Fermi energy (states/eV/f.u.) = 5.568
- volume (Å³ per atom) = 41.41

Structure (CIF):
```
data_BaBeSCl2
_chemical_formula_sum 'Ba1 Be1 S1 Cl2'
_symmetry_space_group_name_H-M 'P 4/m m m'
_symmetry_Int_Tables_number 123
_symmetry_space_group_name_Hall '-P 4 2'
_cell_length_a 5.846
_cell_length_b 5.846
_cell_length_c 6.057
_cell_angle_alpha 90.00
_cell_angle_beta 90.00
_cell_angle_gamma 90.00
loop_
_atom_site_label
_atom_site_type_symbol
_atom_site_fract_x
_atom_site_fract_y
_atom_site_fract_z
Ba1 Ba 0.000 0.000 0.000
Be1 Be 0.500 0.500 0.500
S1 S 0.000 0.000 0.500
Cl1 Cl 0.000 0.500 0.000
```

Entry 8:
The following is a DFT calculation (meta-GGA SCAN) of a PBEsol-optimized structure of TbSi2Au2.

Calculated values
- formation energy (no corrections) (eV per atom) = -0.704
- DOS at the Fermi energy (states/eV/f.u.) = 1.274
- volume (Å³ per atom) = 17.97

Structure (CIF):
```
data_TbSi2Au2
_chemical_formula_sum 'Tb2 Si4 Au4'
_symmetry_space_group_name_H-M 'I 4/m m m'
_symmetry_Int_Tables_number 139
_symmetry_space_group_name_Hall '-I 4 2'
_cell_length_a 4.209
_cell_length_b 4.209
_cell_length_c 10.139
_cell_angle_alpha 90.00
_cell_angle_beta 90.00
_cell_angle_gamma 90.00
loop_
_atom_site_label
_atom_site_type_symbol
_atom_site_fract_x
_atom_site_fract_y
_atom_site_fract_z
Tb1 Tb 0.000 0.000 0.000
Si1 Si 0.000 0.000 0.387
Au1 Au 0.000 0.500 0.250
```

Entry 9:
The following is a DFT calculation (meta-GGA SCAN) of a PBEsol-optimized structure of SbH2S2.

Calculated values
- E_tot (eV per formula unit) = -62.963
- DOS at the Fermi energy (states/eV/f.u.) = 0.901
- volume (Å³ per atom) = 17.12

Structure (CIF):
```
data_SbH2S2
_chemical_formula_sum 'Sb2 H4 S4'
_symmetry_space_group_name_H-M 'P 4/m b m'
_symmetry_Int_Tables_number 127
_symmetry_space_group_name_Hall '-P 4 2ab'
_cell_length_a 7.373
_cell_length_b 7.373
_cell_length_c 3.149
_cell_angle_alpha 90.00
_cell_angle_beta 90.00
_cell_angle_gamma 90.00
loop_
_atom_site_label
_atom_site_type_symbol
_atom_site_fract_x
_atom_site_fract_y
_atom_site_fract_z
Sb1 Sb 0.000 0.000 0.000
H1 H 0.136 0.364 0.500
S1 S 0.181 0.319 0.000
```

Entry 10:
The following is a DFT calculation (meta-GGA SCAN) of a PBEsol-optimized structure of Ba2MnBe.

Calculated values
- formation enthalpy at 0 K (eV/atom) = 0.525
- DOS at the Fermi energy (states/eV/f.u.) = 1.181
- volume (Å³ per atom) = 26.87

Structure (CIF):
```
data_Ba2MnBe
_chemical_formula_sum 'Ba4 Mn2 Be2'
_symmetry_space_group_name_H-M 'I -4 m 2'
_symmetry_Int_Tables_number 119
_symmetry_space_group_name_Hall 'I -4 -2'
_cell_length_a 5.342
_cell_length_b 5.342
_cell_length_c 7.534
_cell_angle_alpha 90.00
_cell_angle_beta 90.00
_cell_angle_gamma 90.00
loop_
_atom_site_label
_atom_site_type_symbol
_atom_site_fract_x
_atom_site_fract_y
_atom_site_fract_z
Ba1 Ba 0.000 0.000 0.000
Ba2 Ba 0.000 0.500 0.250
Mn1 Mn 0.000 0.500 0.750
Be1 Be 0.000 0.000 0.500
```

Entry 11:
The following is a DFT calculation (meta-GGA SCAN) of a PBEsol-optimized structure of SbIrBr2.

Calculated values
- formation energy (no corrections) (eV per atom) = 1.176
- DOS at the Fermi energy (states/eV/f.u.) = 3.253
- offset from the most stable computed form (meV/atom) = 1204
- volume (Å³ per atom) = 20.39

Structure (CIF):
```
data_SbIrBr2
_chemical_formula_sum 'Sb1 Ir1 Br2'
_symmetry_space_group_name_H-M 'P 4/m m m'
_symmetry_Int_Tables_number 123
_symmetry_space_group_name_Hall '-P 4 2'
_cell_length_a 4.492
_cell_length_b 4.492
_cell_length_c 4.042
_cell_angle_alpha 90.00
_cell_angle_beta 90.00
_cell_angle_gamma 90.00
loop_
_atom_site_label
_atom_site_type_symbol
_atom_site_fract_x
_atom_site_fract_y
_atom_site_fract_z
Sb1 Sb 0.000 0.000 0.000
Ir1 Ir 0.500 0.500 0.000
Br1 Br 0.000 0.500 0.500
```

Entry 12:
The following is a DFT calculation (meta-GGA SCAN) of a PBEsol-optimized structure of GeBi2PbSe.

Calculated values
- formation energy (no corrections) (eV per atom) = 1.057
- DOS at the Fermi energy (states/eV/f.u.) = 6.677
- volume (Å³ per atom) = 35.65

Structure (CIF):
```
data_GeBi2PbSe
_chemical_formula_sum 'Ge1 Bi2 Pb1 Se1'
_symmetry_space_group_name_H-M 'P 4/m m m'
_symmetry_Int_Tables_number 123
_symmetry_space_group_name_Hall '-P 4 2'
_cell_length_a 5.885
_cell_length_b 5.885
_cell_length_c 5.147
_cell_angle_alpha 90.00
_cell_angle_beta 90.00
_cell_angle_gamma 90.00
loop_
_atom_site_label
_atom_site_type_symbol
_atom_site_fract_x
_atom_site_fract_y
_atom_site_fract_z
Ge1 Ge 0.000 0.000 0.000
Bi1 Bi 0.000 0.500 0.500
Pb1 Pb 0.000 0.000 0.500
Se1 Se 0.500 0.500 0.000
```

The highest volume belongs to which entry? BaBeSCl2